Below is crystalline TaSnAs2Se at its relaxed geometry, with properties calculated at the PBE level.

Cell lengths 5.066, 5.066, 5.096 Å; angles 90.00, 90.00, 90.00 degrees
Fractional coordinates of all 5 atoms:
As  0.000  0.500  0.000
As  0.500  0.000  0.000
Sn  0.000  0.000  0.000
Se  0.000  0.000  0.500
Ta  0.500  0.500  0.500

Properties
- Offset from the most stable computed form: 1266 meV per atom
- DOS at the Fermi energy: 1.044 states/eV/atom
- ΔE_f (raw): 1391 meV/atom